No. 1
This record from the Alexandria database describes a relaxed structure of MgTc. The functional is PBEsol.

Values from the calculation:
N(E_F)   1.141 states/eV/cell
Space group   No. 227
Total magnetic moment   0.00 μB per formula unit
Energy relative to the lowest polymorph listed for this composition   129 meV/atom
Energy of formation from the pure elements   0.14 eV/atom

a b c (Å): 4.402 4.402 4.402
angles (deg): 60.00 60.00 60.00
Atoms (fractional coordinates):
Tc  0.500  0.500  0.500
Mg  0.000  0.000  0.000
Mg  0.250  0.250  0.250
Tc  0.750  0.750  0.750

No. 2
This record from the Alexandria database describes a relaxed structure of SrCu2Au. The functional is PBEsol.

Values from the calculation:
N(E_F)   1.018 states/eV/cell
Space group   No. 99
Total magnetic moment   0.00 μB per formula unit
Energy relative to the lowest polymorph listed for this composition   208 meV/atom
Energy of formation from the pure elements   -0.03 eV/atom

a b c (Å): 3.330 3.330 6.670
angles (deg): 90.00 90.00 90.00
Atoms (fractional coordinates):
Cu  0.000  0.000  0.023
Sr  0.000  0.000  0.495
Au  0.500  0.500  0.804
Cu  0.500  0.500  0.178

No. 3
This record from the Alexandria database describes a relaxed structure of Be2CuNi. The functional is PBEsol.

Values from the calculation:
N(E_F)   1.480 states/eV/cell
Space group   No. 44
Total magnetic moment   0.00 μB per formula unit
Energy of formation from the pure elements   -0.22 eV/atom

a b c (Å): 2.594 3.670 4.444
angles (deg): 114.39 106.97 90.00
Atoms (fractional coordinates):
Cu  0.490  0.490  0.981
Be  0.003  0.003  0.007
Ni  0.262  0.762  0.524
Be  0.744  0.244  0.488

Q: Among the records above, which one has the lowest energy of formation from the pure elements?
A: Be2CuNi